BeCoTc2 (PBE, optimized geometry); N(E_F) = 0.765 states/eV/atom; E_tot = -7.899 eV per atom; SG = P4/mmm (123); energy of formation = -0.18 kcal/mol of atoms
1.0
2.687 0.000 0.000
0.000 2.687 0.000
0.000 0.000 6.560
Be Co Tc
1 1 2
direct
0.000 0.000 0.000 Be
0.000 0.000 0.500 Co
0.500 0.500 0.232 Tc
0.500 0.500 0.768 Tc

---

TbDy3Pu3Se8 (PBE, optimized geometry); N(E_F) = 2.171 states/eV/atom; ΔE_f (raw) = -1.729 eV/atom; E_tot = -7.683 eV per atom; SG = R-3m (166)
1.0
4.098 2.366 6.717
-4.098 2.366 6.717
0.000 -4.732 6.717
Tb Dy Pu Se
1 3 3 8
direct
0.000 0.000 0.000 Tb
0.000 0.500 0.500 Dy
0.500 0.000 0.500 Dy
0.500 0.500 0.000 Dy
0.000 0.000 0.500 Pu
0.000 0.500 0.000 Pu
0.500 0.000 0.000 Pu
0.251 0.251 0.251 Se
0.251 0.251 0.744 Se
0.251 0.744 0.251 Se
0.256 0.749 0.749 Se
0.744 0.251 0.251 Se
0.749 0.256 0.749 Se
0.749 0.749 0.256 Se
0.749 0.749 0.749 Se

---

CrCoNi6 (PBE, optimized geometry); N(E_F) = 1.338 states/eV/atom; E_tot = -6.419 eV per atom; SG = Amm2 (38); energy of formation = 0.20 kcal/mol of atoms
1.0
3.499 0.000 0.000
0.000 3.552 3.527
0.000 -3.552 3.527
Cr Co Ni
1 1 6
direct
0.000 0.000 0.000 Cr
0.500 0.246 0.246 Co
0.000 0.497 0.497 Ni
0.000 0.497 0.999 Ni
0.000 0.999 0.497 Ni
0.500 0.248 0.748 Ni
0.500 0.748 0.248 Ni
0.500 0.750 0.750 Ni

---

Ni2RhW (PBE, optimized geometry); N(E_F) = 1.210 states/eV/atom; E_tot = -7.938 eV per atom; SG = P2/m (10); energy of formation = 0.66 kcal/mol of atoms
1.0
4.513 0.000 0.000
0.000 2.701 0.000
-1.544 0.000 4.327
Ni Rh W
2 1 1
direct
0.000 0.000 0.000 Ni
0.000 0.500 0.500 Ni
0.500 0.000 0.500 Rh
0.500 0.500 0.000 W

---

CoHgIN2 (PBE, optimized geometry); N(E_F) = 1.474 states/eV/atom; ΔE_f (raw) = 2.101 eV/atom; E_tot = -3.021 eV per atom; SG = P4/mmm (123)
1.0
4.175 0.000 0.000
0.000 4.175 0.000
0.000 0.000 7.800
Co Hg I N
1 1 1 2
direct
0.000 0.000 0.000 Co
0.500 0.500 0.500 Hg
0.500 0.500 0.000 I
0.000 0.500 0.500 N
0.500 0.000 0.500 N

---

Ca3TbDy2Te6 (PBE, optimized geometry); N(E_F) = 0.415 states/eV/atom; ΔE_f (raw) = -1.457 eV/atom; E_tot = -4.681 eV per atom; SG = C2/m (12)
1.0
3.806 -6.585 0.000
3.806 6.585 0.000
-2.539 0.000 7.335
Ca Tb Dy Te
3 1 2 6
direct
0.000 0.000 0.000 Ca
0.334 0.666 0.000 Ca
0.666 0.334 0.000 Ca
0.500 0.500 0.500 Tb
0.167 0.833 0.500 Dy
0.833 0.167 0.500 Dy
0.084 0.418 0.254 Te
0.247 0.247 0.745 Te
0.418 0.084 0.254 Te
0.582 0.916 0.746 Te
0.753 0.753 0.255 Te
0.916 0.582 0.746 Te

---

KTl2Os (PBE, optimized geometry); N(E_F) = 0.874 states/eV/atom; E_tot = -3.388 eV per atom; SG = Fm-3m (225); energy of formation = 20.23 kcal/mol of atoms
1.0
0.000 3.607 3.607
3.607 0.000 3.607
3.607 3.607 0.000
K Tl Os
1 2 1
direct
0.000 0.000 0.000 K
0.250 0.250 0.250 Tl
0.750 0.750 0.750 Tl
0.500 0.500 0.500 Os

---

RbRhSe2 (PBE, optimized geometry); N(E_F) = 0.217 states/eV/atom; ΔE_f (raw) = -0.648 eV/atom; E_tot = -4.470 eV per atom; SG = P2_1/m (11)
1.0
3.883 0.000 0.000
0.000 5.063 0.000
-0.015 0.000 10.399
Rb Rh Se
2 2 4
direct
0.249 0.250 0.132 Rb
0.751 0.750 0.868 Rb
0.249 0.750 0.390 Rh
0.751 0.250 0.610 Rh
0.250 0.250 0.457 Se
0.251 0.250 0.770 Se
0.749 0.750 0.230 Se
0.750 0.750 0.543 Se

---

Pa4GaCo (PBE, optimized geometry); N(E_F) = 2.091 states/eV/atom; E_tot = -8.215 eV per atom; SG = P4/mcc (124); energy of formation = -4.51 kcal/mol of atoms
1.0
6.824 0.000 0.000
0.000 6.824 0.000
0.000 0.000 5.561
Pa Ga Co
8 2 2
direct
0.135 0.341 0.000 Pa
0.135 0.659 0.500 Pa
0.341 0.135 0.500 Pa
0.341 0.865 0.000 Pa
0.659 0.135 0.000 Pa
0.659 0.865 0.500 Pa
0.865 0.341 0.500 Pa
0.865 0.659 0.000 Pa
0.500 0.500 0.250 Ga
0.500 0.500 0.750 Ga
0.000 0.000 0.250 Co
0.000 0.000 0.750 Co

---

DySnRu2C (PBE, optimized geometry); N(E_F) = 0.573 states/eV/atom; E_tot = -7.564 eV per atom; SG = Cmcm (63); energy of formation = -6.65 kcal/mol of atoms
1.0
1.968 -5.889 0.000
1.968 5.889 0.000
0.000 0.000 7.623
Dy Sn Ru C
2 2 4 2
direct
0.036 0.964 0.750 Dy
0.964 0.036 0.250 Dy
0.240 0.760 0.250 Sn
0.760 0.240 0.750 Sn
0.348 0.652 0.556 Ru
0.348 0.652 0.944 Ru
0.652 0.348 0.056 Ru
0.652 0.348 0.444 Ru
0.500 0.500 0.000 C
0.500 0.500 0.500 C

---

Y3Cd2Pt (PBE, optimized geometry); N(E_F) = 0.653 states/eV/atom; E_tot = -5.189 eV per atom; SG = P2/m (10); energy of formation = -14.87 kcal/mol of atoms
1.0
5.101 0.000 0.000
0.000 7.446 0.000
-2.547 0.000 7.756
Y Cd Pt
6 4 2
direct
0.000 0.240 0.000 Y
0.000 0.760 0.000 Y
0.327 0.226 0.654 Y
0.327 0.774 0.654 Y
0.673 0.226 0.346 Y
0.673 0.774 0.346 Y
0.167 0.500 0.334 Cd
0.500 0.000 0.000 Cd
0.500 0.500 0.000 Cd
0.833 0.500 0.666 Cd
0.151 0.000 0.301 Pt
0.849 0.000 0.699 Pt

---

CsK2As (PBE, optimized geometry); N(E_F) = 1.208 states/eV/atom; E_tot = -2.187 eV per atom; SG = R3m (160); energy of formation = -6.04 kcal/mol of atoms
1.0
2.883 1.665 6.517
-2.883 1.665 6.517
0.000 -3.330 6.517
Cs K As
1 2 1
direct
0.000 0.000 0.000 Cs
0.195 0.195 0.195 K
0.457 0.457 0.457 K
0.801 0.801 0.801 As

---

Rb2BeCoRe (PBE, optimized geometry); N(E_F) = 0.628 states/eV/atom; E_tot = -3.082 eV per atom; SG = P4/mmm (123); energy of formation = 45.22 kcal/mol of atoms
1.0
6.445 0.000 0.000
0.000 6.445 0.000
0.000 0.000 4.119
Rb Be Co Re
2 1 1 1
direct
0.000 0.500 0.000 Rb
0.500 0.000 0.000 Rb
0.000 0.000 0.000 Be
0.000 0.000 0.500 Co
0.500 0.500 0.500 Re

---

InOsBr2 (PBE, optimized geometry); N(E_F) = 0.294 states/eV/atom; ΔE_f (raw) = 1.045 eV/atom; E_tot = -3.283 eV per atom; SG = Fm-3m (225)
1.0
0.000 3.628 3.628
3.628 0.000 3.628
3.628 3.628 0.000
In Os Br
1 1 2
direct
0.000 0.000 0.000 In
0.500 0.500 0.500 Os
0.250 0.250 0.250 Br
0.750 0.750 0.750 Br

---

MgReRh (PBE, optimized geometry); N(E_F) = 0.958 states/eV/atom; E_tot = -7.106 eV per atom; SG = P4/nmm (129); energy of formation = 0.59 kcal/mol of atoms
1.0
3.713 0.000 0.000
0.000 3.713 0.000
0.000 0.000 7.091
Mg Re Rh
2 2 2
direct
0.250 0.250 0.159 Mg
0.750 0.750 0.841 Mg
0.250 0.750 0.500 Re
0.750 0.250 0.500 Re
0.250 0.250 0.782 Rh
0.750 0.750 0.218 Rh

---

YPt5Pb (PBE, optimized geometry); N(E_F) = 0.726 states/eV/atom; E_tot = -6.292 eV per atom; SG = Pnma (62); energy of formation = -12.08 kcal/mol of atoms
1.0
8.923 0.000 0.000
0.000 5.357 0.000
0.000 0.000 11.359
Y Pt Pb
4 20 4
direct
0.237 0.250 0.083 Y
0.263 0.750 0.583 Y
0.737 0.250 0.417 Y
0.763 0.750 0.917 Y
0.026 0.750 0.085 Pt
0.036 0.250 0.502 Pt
0.067 0.002 0.296 Pt
0.067 0.498 0.296 Pt
0.196 0.250 0.710 Pt
0.304 0.750 0.210 Pt
0.433 0.502 0.796 Pt
0.433 0.998 0.796 Pt
0.464 0.750 0.002 Pt
0.474 0.250 0.585 Pt
0.526 0.750 0.415 Pt
0.536 0.250 0.998 Pt
0.567 0.002 0.204 Pt
0.567 0.498 0.204 Pt
0.696 0.250 0.790 Pt
0.804 0.750 0.290 Pt
0.933 0.502 0.704 Pt
0.933 0.998 0.704 Pt
0.964 0.750 0.498 Pt
0.974 0.250 0.915 Pt
0.151 0.750 0.867 Pb
0.349 0.250 0.367 Pb
0.651 0.750 0.633 Pb
0.849 0.250 0.133 Pb

---

SmScCd2Pd4 (PBE, optimized geometry); N(E_F) = 0.545 states/eV/atom; E_tot = -4.895 eV per atom; SG = R-3m (166); energy of formation = -15.87 kcal/mol of atoms
1.0
2.363 1.364 7.869
-2.363 1.364 7.869
0.000 -2.729 7.869
Sm Sc Cd Pd
1 1 2 4
direct
0.000 0.000 0.000 Sm
0.500 0.500 0.500 Sc
0.248 0.248 0.248 Cd
0.752 0.752 0.752 Cd
0.128 0.128 0.128 Pd
0.383 0.383 0.383 Pd
0.617 0.617 0.617 Pd
0.872 0.872 0.872 Pd

---

TbDyPSe (PBE, optimized geometry); N(E_F) = 0.600 states/eV/atom; ΔE_f (raw) = -1.724 eV/atom; E_tot = -6.256 eV per atom; SG = R3m (160)
1.0
1.988 1.148 6.988
-1.988 1.148 6.988
0.000 -2.295 6.988
Tb Dy P Se
1 1 1 1
direct
0.000 0.000 0.000 Tb
0.815 0.815 0.815 Dy
0.410 0.410 0.410 P
0.239 0.239 0.239 Se

---

MnFe2Ag (PBE, optimized geometry); N(E_F) = 0.855 states/eV/atom; E_tot = -6.852 eV per atom; SG = Cm (8); energy of formation = 8.86 kcal/mol of atoms
1.0
4.337 -1.339 0.000
4.337 1.339 0.000
-0.680 0.000 4.871
Mn Fe Ag
1 2 1
direct
0.000 0.000 0.000 Mn
0.495 0.495 0.451 Fe
0.748 0.748 0.243 Fe
0.246 0.246 0.734 Ag

---

Co15Ni4Ir (PBE, optimized geometry); N(E_F) = 1.227 states/eV/atom; E_tot = -6.914 eV per atom; SG = P4/mmm (123); energy of formation = 0.34 kcal/mol of atoms
1.0
3.553 0.000 0.000
0.000 3.553 0.000
0.000 0.000 17.641
Co Ni Ir
15 4 1
direct
0.000 0.000 0.000 Co
0.000 0.000 0.203 Co
0.000 0.000 0.401 Co
0.000 0.000 0.599 Co
0.000 0.000 0.797 Co
0.000 0.500 0.106 Co
0.000 0.500 0.303 Co
0.000 0.500 0.500 Co
0.000 0.500 0.697 Co
0.000 0.500 0.894 Co
0.500 0.000 0.106 Co
0.500 0.000 0.303 Co
0.500 0.000 0.500 Co
0.500 0.000 0.697 Co
0.500 0.000 0.894 Co
0.500 0.500 0.205 Ni
0.500 0.500 0.401 Ni
0.500 0.500 0.599 Ni
0.500 0.500 0.795 Ni
0.500 0.500 0.000 Ir